(1)
Computed, not measured: a geometry-optimized TbGdTlCo2 structure at the GGA-PBE level of DFT.

Properties
Calculated total energy ... -5.450 eV/atom
ρ ... 10.11 g cm⁻³

Cell: 3.8367 3.8463 14.2060 Å, 90.00 90.00 90.00°
Last column: nearest neighbours and their distance in Å.
Space group Amm2 (No. 38)
Asymmetric unit:
Tb (0.0000, 0.0000, 0.0000) (multiplicity 2)  6 Co 2.88-2.90
Gd (0.0000, 0.0000, 0.7208) (multiplicity 2)  6 Co 2.88-2.91
Tl (0.5000, 0.0000, 0.3607) (multiplicity 2)  2 Co 2.92-2.95
Co (0.5000, 0.0000, 0.1532) (multiplicity 2)  2 Co 2.28
Co (0.5000, 0.0000, 0.5665) (multiplicity 2)  2 Co 2.28

(2)
Computed, not measured: a geometry-optimized Gd6CoTe2 structure at the GGA-PBE level of DFT.

Properties
Calculated total energy ... -5.265 eV/atom
ρ ... 8.63 g cm⁻³

Cell: 8.4380 8.4380 3.9237 Å, 90.00 90.00 120.00°
Last column: nearest neighbours and their distance in Å.
Space group P-62m (No. 189)
Asymmetric unit:
Gd (0.0000, 0.2364, 0.0000) (multiplicity 3)  2 Co 2.80
Gd (0.0000, 0.5957, 0.5000) (multiplicity 3)  4 Te 3.23, 1 Co 3.41, 6 Gd 3.56-3.61
Co (0.0000, 0.0000, 0.5000) (multiplicity 1)  6 Gd 2.80
Te (0.3333, 0.6667, 0.0000) (multiplicity 2)  9 Gd 3.23-3.30